# 1
A plane-wave DFT calculation with PBE-GGA was carried out for MgMnIr after structural relaxation.

**Energy of formation**: -0.1 eV per formula unit
**Total DFT energy (no corrections)**: -6.569 eV per atom

a b c (Å): 3.934 3.934 6.677
angles (deg): 90.00 90.00 90.00
Each line ends with the local moment (μB).
Atoms (fractional coordinates):
1 Mg 0.000 0.500 0.847  0.00
2 Mg 0.500 0.000 0.153  0.00
3 Ir 0.000 0.500 0.259  0.44
4 Ir 0.500 0.000 0.741  0.44
5 Mn 0.000 0.000 0.500  3.43
6 Mn 0.500 0.500 0.500  3.43

# 2
A plane-wave DFT calculation with PBE-GGA was carried out for FeAgTe2I after structural relaxation.

**Energy above the lowest structure with this stoichiometry**: 0 meV per atom
**Raw formation energy**: 2.514 eV/f.u.
**Total DFT energy (no corrections)**: -3.327 eV per atom

a b c (Å): 4.898 4.898 5.861
angles (deg): 90.00 90.00 90.00
Atoms (fractional coordinates):
1 I 0.000 0.000 0.500
2 Te 0.000 0.500 0.000
3 Te 0.500 0.000 0.000
4 Fe 0.000 0.000 0.000
5 Ag 0.500 0.500 0.500

# 3
A plane-wave DFT calculation with PBE-GGA was carried out for CaMoRu2 after structural relaxation.

**Energy above the lowest structure with this stoichiometry**: 238 meV per atom
**Energy of formation**: 1.5 eV per formula unit
**Total DFT energy (no corrections)**: -7.460 eV per atom

a b c (Å): 4.752 4.752 5.640
angles (deg): 74.94 74.94 37.93
Atoms (fractional coordinates):
1 Ru 0.972 0.972 0.075
2 Ru 0.528 0.528 0.425
3 Mo 0.250 0.250 0.250
4 Ca 0.750 0.750 0.750

# 4
A plane-wave DFT calculation with PBE-GGA was carried out for Nd4Dy3Tm2 after structural relaxation.

**Energy above the lowest structure with this stoichiometry**: 30 meV per atom
**Energy of formation**: 0.8 eV per formula unit
**Total DFT energy (no corrections)**: -4.562 eV per atom

a b c (Å): 3.646 6.673 14.475
angles (deg): 64.28 90.00 105.85
Atoms (fractional coordinates):
1 Nd 0.650 0.300 0.128
2 Nd 0.108 0.217 0.608
3 Nd 0.892 0.783 0.392
4 Nd 0.350 0.700 0.872
5 Dy 0.380 0.759 0.612
6 Dy 0.000 0.000 0.000
7 Dy 0.620 0.241 0.388
8 Tm 0.339 0.678 0.209
9 Tm 0.661 0.322 0.791

# 5
A plane-wave DFT calculation with PBE-GGA was carried out for Si2SbMo after structural relaxation.

**Raw formation energy**: 1.850 eV/f.u.
**Total DFT energy (no corrections)**: -5.987 eV per atom

a b c (Å): 4.603 4.603 3.319
angles (deg): 90.00 90.00 107.17
Atoms (fractional coordinates):
1 Mo 0.500 0.000 0.500
2 Sb 0.000 0.500 0.500
3 Si 0.000 0.000 0.000
4 Si 0.500 0.500 0.000

# 6
A plane-wave DFT calculation with PBE-GGA was carried out for SrAs2Pt after structural relaxation.

**Energy of formation**: -1.1 eV per formula unit
**Total DFT energy (no corrections)**: -4.520 eV per atom

a b c (Å): 5.558 5.558 5.558
angles (deg): 134.92 134.92 65.66
Atoms (fractional coordinates):
1 Sr 0.750 0.250 0.500
2 As 0.000 0.000 0.000
3 As 0.250 0.750 0.500
4 Pt 0.500 0.500 0.000

# 7
A plane-wave DFT calculation with PBE-GGA was carried out for NaTeCl4 after structural relaxation.

**Energy above the lowest structure with this stoichiometry**: 0 meV per atom
**Raw formation energy**: -5.483 eV/f.u.
**Total DFT energy (no corrections)**: -2.888 eV per atom

a b c (Å): 7.020 7.617 8.932
angles (deg): 105.66 102.90 113.45
Atoms (fractional coordinates):
1 Na 0.419 0.669 0.338
2 Na 0.581 0.331 0.662
3 Te 0.082 0.832 0.665
4 Te 0.918 0.168 0.335
5 Cl 0.023 0.293 0.121
6 Cl 0.598 0.828 0.121
7 Cl 0.272 0.505 0.571
8 Cl 0.728 0.495 0.429
9 Cl 0.201 0.934 0.429
10 Cl 0.402 0.172 0.879
11 Cl 0.799 0.066 0.571
12 Cl 0.977 0.707 0.879

# 8
A plane-wave DFT calculation with PBE-GGA was carried out for ReRh4 after structural relaxation.

**Energy above the lowest structure with this stoichiometry**: 687 meV per atom
**Energy of formation**: 3.1 eV per formula unit
**Total DFT energy (no corrections)**: -7.745 eV per atom

a b c (Å): 6.874 6.874 6.874
angles (deg): 150.49 150.49 42.22
Each line ends with the local moment (μB).
Atoms (fractional coordinates):
1 Re 0.000 0.000 0.000  0.86
2 Rh 0.750 0.250 0.500  0.01
3 Rh 0.402 0.402 0.000  0.05
4 Rh 0.598 0.598 0.000  0.05
5 Rh 0.250 0.750 0.500  0.01

# 9
A plane-wave DFT calculation with PBE-GGA was carried out for HoPuZnTc after structural relaxation.

**Energy of formation**: -0.1 eV per formula unit
**Total DFT energy (no corrections)**: -7.651 eV per atom

a b c (Å): 4.897 4.897 4.897
angles (deg): 60.00 60.00 60.00
Each line ends with the local moment (μB).
Atoms (fractional coordinates):
1 Tc 0.500 0.500 0.500  -0.43
2 Zn 0.000 0.000 0.000  0.05
3 Ho 0.250 0.250 0.250  0.11
4 Pu 0.750 0.750 0.750  5.13

# 10
A plane-wave DFT calculation with PBE-GGA was carried out for Sm6Tl2Hg3 after structural relaxation.

**Energy of formation**: 0.0 eV per formula unit
**Total DFT energy (no corrections)**: -3.083 eV per atom

a b c (Å): 5.939 5.939 11.352
angles (deg): 105.16 105.16 90.00
Atoms (fractional coordinates):
1 Sm 0.097 0.597 0.194
2 Sm 0.597 0.097 0.194
3 Sm 0.903 0.403 0.806
4 Sm 0.403 0.903 0.806
5 Sm 0.713 0.713 0.425
6 Sm 0.287 0.287 0.575
7 Tl 0.433 0.433 0.867
8 Tl 0.567 0.567 0.133
9 Hg 0.000 0.000 0.000
10 Hg 0.852 0.852 0.703
11 Hg 0.148 0.148 0.297

# 11
A plane-wave DFT calculation with PBE-GGA was carried out for Ac2Tm2Pb3 after structural relaxation.

**Energy of formation**: -1.9 eV per formula unit
**Total DFT energy (no corrections)**: -4.314 eV per atom

a b c (Å): 4.999 7.785 8.550
angles (deg): 111.89 107.00 90.00
Atoms (fractional coordinates):
1 Ac 0.634 0.761 0.268
2 Ac 0.366 0.239 0.732
3 Tm 0.849 0.629 0.698
4 Tm 0.151 0.371 0.302
5 Pb 0.000 0.500 0.000
6 Pb 0.294 0.774 0.588
7 Pb 0.706 0.226 0.412

# 12
A plane-wave DFT calculation with PBE-GGA was carried out for NaSrV after structural relaxation.

**Energy above the lowest structure with this stoichiometry**: 475 meV per atom
**Energy of formation**: 2.6 eV per formula unit
**Total DFT energy (no corrections)**: -3.173 eV per atom

a b c (Å): 9.551 7.602 5.505
angles (deg): 90.00 90.00 90.00
Each line ends with the local moment (μB).
Atoms (fractional coordinates):
1 Sr 0.000 0.000 0.000  0.11
2 Sr 0.500 0.500 0.500  0.11
3 Sr 0.500 0.000 0.500  0.11
4 Sr 0.000 0.500 0.000  0.11
5 V 0.333 0.250 0.000  3.10
6 V 0.167 0.750 0.500  3.10
7 V 0.667 0.750 0.000  3.10
8 V 0.833 0.250 0.500  3.10
9 Na 0.667 0.250 0.000  0.01
10 Na 0.833 0.750 0.500  0.01
11 Na 0.333 0.750 0.000  0.01
12 Na 0.167 0.250 0.500  0.01

| no. | magnetic moment (μB/f.u.) |
| --- | --- |
| 1 | 4.15 |
| 2 | 0.00 |
| 3 | 0.00 |
| 4 | 0.00 |
| 5 | 0.00 |
| 6 | 0.00 |
| 7 | 0.00 |
| 8 | 1.09 |
| 9 | 5.17 |
| 10 | 0.00 |
| 11 | 0.00 |
| 12 | 4.56 |